Here is a crystal of Li2LaZn2 relaxed with PBEsol from Alexandria. Energies are from meta-GGA SCAN.

```
data_Li2LaZn2
_chemical_formula_sum 'Li4 La2 Zn4'
_space_group_name_H-M_alt 'I 4/m m m'
_space_group_IT_number 139
_space_group_name_Hall '-I 4 2'
_cell_length_a 3.9577
_cell_length_b 3.9577
_cell_length_c 13.0299
_cell_angle_alpha 90.00
_cell_angle_beta 90.00
_cell_angle_gamma 90.00
loop_
_atom_site_label
_atom_site_fract_x
_atom_site_fract_y
_atom_site_fract_z
_atom_site_occupancy
Li1 0.0000 0.5000 0.2500 1
La1 0.0000 0.0000 0.0000 1
Zn1 0.0000 0.0000 0.3928 1
```

Results
Formation enthalpy at 0 K in eV/atom: -0.208
DFT total energy in eV/atom: -15.19
ΔE to the lowest computed polymorph in eV/atom: 0.000
Theoretical density in g cm⁻³: 4.615

***

Here is a crystal of Li4LaZn relaxed with PBEsol from Alexandria. Energies are from meta-GGA SCAN.

```
data_Li4LaZn
_chemical_formula_sum 'Li16 La4 Zn4'
_space_group_name_H-M_alt 'F -4 3 m'
_space_group_IT_number 216
_space_group_name_Hall 'F -4 2 3'
_cell_length_a 7.7275
_cell_length_b 7.7275
_cell_length_c 7.7275
_cell_angle_alpha 90.00
_cell_angle_beta 90.00
_cell_angle_gamma 90.00
loop_
_atom_site_label
_atom_site_fract_x
_atom_site_fract_y
_atom_site_fract_z
_atom_site_occupancy
Li1 0.1221 0.1221 0.3779 1
La1 0.0000 0.0000 0.0000 1
Zn1 0.2500 0.2500 0.7500 1
```

Results
Formation enthalpy at 0 K in eV/atom: -0.006
DFT total energy in eV/atom: -11.04
Theoretical density in g cm⁻³: 3.341

***

Here is a crystal of Li2LaZn2 relaxed with PBEsol from Alexandria. Energies are from meta-GGA SCAN.

```
data_Li2LaZn2
_chemical_formula_sum 'Li4 La2 Zn4'
_space_group_name_H-M_alt 'P 4/m b m'
_space_group_IT_number 127
_space_group_name_Hall '-P 4 2ab'
_cell_length_a 7.9472
_cell_length_b 7.9472
_cell_length_c 2.9442
_cell_angle_alpha 90.00
_cell_angle_beta 90.00
_cell_angle_gamma 90.00
loop_
_atom_site_label
_atom_site_fract_x
_atom_site_fract_y
_atom_site_fract_z
_atom_site_occupancy
Li1 0.1158 0.3842 0.0000 1
La1 0.0000 0.0000 0.0000 1
Zn1 0.1776 0.6776 0.5000 1
```

Results
Formation enthalpy at 0 K in eV/atom: -0.155
DFT total energy in eV/atom: -15.14
ΔE to the lowest computed polymorph in eV/atom: 0.053
Theoretical density in g cm⁻³: 5.065

***

Here is a crystal of Li2LaZn relaxed with PBEsol from Alexandria. Energies are from meta-GGA SCAN.

```
data_Li2LaZn
_chemical_formula_sum 'Li8 La4 Zn4'
_space_group_name_H-M_alt 'I -4 2 d'
_space_group_IT_number 122
_space_group_name_Hall 'I -4 2bw'
_cell_length_a 4.2610
_cell_length_b 4.2610
_cell_length_c 20.7121
_cell_angle_alpha 90.00
_cell_angle_beta 90.00
_cell_angle_gamma 90.00
loop_
_atom_site_label
_atom_site_fract_x
_atom_site_fract_y
_atom_site_fract_z
_atom_site_occupancy
Li1 0.1700 0.7500 0.1250 1
La1 0.0000 0.0000 0.5000 1
Zn1 0.0000 0.0000 0.0000 1
```

Results
Formation enthalpy at 0 K in eV/atom: 0.079
DFT total energy in eV/atom: -15.27
Theoretical density in g cm⁻³: 3.854

***

Here is a crystal of LiLaZn relaxed with PBEsol from Alexandria. Energies are from meta-GGA SCAN.

```
data_LiLaZn
_chemical_formula_sum 'Li1 La1 Zn1'
_space_group_name_H-M_alt 'P -6 m 2'
_space_group_IT_number 187
_space_group_name_Hall 'P -6 2'
_cell_length_a 4.8297
_cell_length_b 4.8297
_cell_length_c 3.2935
_cell_angle_alpha 90.00
_cell_angle_beta 90.00
_cell_angle_gamma 120.00
loop_
_atom_site_label
_atom_site_fract_x
_atom_site_fract_y
_atom_site_fract_z
_atom_site_occupancy
Li1 0.0000 0.0000 0.0000 1
La1 0.6667 0.3333 0.5000 1
Zn1 0.3333 0.6667 0.0000 1
```

Results
Formation enthalpy at 0 K in eV/atom: -0.184
DFT total energy in eV/atom: -19.85
ΔE to the lowest computed polymorph in eV/atom: 0.000
Theoretical density in g cm⁻³: 5.273

***

Here is a crystal of Li2LaZn relaxed with PBEsol from Alexandria. Energies are from meta-GGA SCAN.

```
data_Li2LaZn
_chemical_formula_sum 'Li4 La2 Zn2'
_space_group_name_H-M_alt 'C 1 m 1'
_space_group_IT_number 8
_cell_length_a 8.2279
_cell_length_b 4.7709
_cell_length_c 5.2590
_cell_angle_alpha 90.00
_cell_angle_beta 121.53
_cell_angle_gamma 90.00
loop_
_space_group_symop_operation_xyz
'x,y,z'
'x,-y,z'
'x+1/2,y+1/2,z'
'x+1/2,-y+1/2,z'
loop_
_atom_site_label
_atom_site_fract_x
_atom_site_fract_y
_atom_site_fract_z
_atom_site_occupancy
Li1 0.0000 0.0000 0.0000 1
Li2 0.2294 0.5000 0.1872 1
La1 0.2232 0.0000 0.6686 1
Zn1 0.4478 0.0000 0.3416 1
```

Results
Formation enthalpy at 0 K in eV/atom: -0.086
DFT total energy in eV/atom: -15.44
Theoretical density in g cm⁻³: 4.118

***

Here is a crystal of LiLa2Zr relaxed with PBEsol from Alexandria. Energies are from meta-GGA SCAN.

```
data_LiLa2Zr
_chemical_formula_sum 'Li3 La6 Zr3'
_space_group_name_H-M_alt 'R -3 m'
_space_group_IT_number 166
_space_group_name_Hall '-R 3 2"'
_cell_length_a 3.4002
_cell_length_b 3.4002
_cell_length_c 33.6263
_cell_angle_alpha 90.00
_cell_angle_beta 90.00
_cell_angle_gamma 120.00
loop_
_atom_site_label
_atom_site_fract_x
_atom_site_fract_y
_atom_site_fract_z
_atom_site_occupancy
Li1 0.0000 0.0000 0.0000 1
La1 0.0000 0.0000 0.2463 1
Zr1 0.0000 0.0000 0.5000 1
```

Results
Formation enthalpy at 0 K in eV/atom: 0.142
DFT total energy in eV/atom: -29.68
ΔE to the lowest computed polymorph in eV/atom: 0.000
Theoretical density in g cm⁻³: 5.563

***

Here is a crystal of LiLaZr2 relaxed with PBEsol from Alexandria. Energies are from meta-GGA SCAN.

```
data_LiLaZr2
_chemical_formula_sum 'Li2 La2 Zr4'
_space_group_name_H-M_alt 'C 1 m 1'
_space_group_IT_number 8
_cell_length_a 10.3217
_cell_length_b 3.1530
_cell_length_c 5.8988
_cell_angle_alpha 90.00
_cell_angle_beta 97.49
_cell_angle_gamma 90.00
loop_
_space_group_symop_operation_xyz
'x,y,z'
'x,-y,z'
'x+1/2,y+1/2,z'
'x+1/2,-y+1/2,z'
loop_
_atom_site_label
_atom_site_fract_x
_atom_site_fract_y
_atom_site_fract_z
_atom_site_occupancy
Li1 0.0000 0.0000 0.0000 1
La1 0.2479 0.0000 0.7634 1
Zr1 0.2425 0.5000 0.2720 1
Zr2 0.4851 0.0000 0.4415 1
```

Results
Formation enthalpy at 0 K in eV/atom: 0.264
DFT total energy in eV/atom: -26.46
Theoretical density in g cm⁻³: 5.728

***

Here is a crystal of LiLa2Zr relaxed with PBEsol from Alexandria. Energies are from meta-GGA SCAN.

```
data_LiLa2Zr
_chemical_formula_sum 'Li1 La2 Zr1'
_space_group_name_H-M_alt 'P 1 m 1'
_space_group_IT_number 6
_cell_length_a 3.2972
_cell_length_b 5.2830
_cell_length_c 6.4350
_cell_angle_alpha 90.00
_cell_angle_beta 104.71
_cell_angle_gamma 90.00
loop_
_space_group_symop_operation_xyz
'x,y,z'
'x,-y,z'
loop_
_atom_site_label
_atom_site_fract_x
_atom_site_fract_y
_atom_site_fract_z
_atom_site_occupancy
Li1 0.0000 0.0000 0.0000 1
La1 0.4035 0.5000 0.8063 1
La2 0.7195 0.0000 0.4435 1
Zr1 0.1295 0.5000 0.2640 1
```

Results
Formation enthalpy at 0 K in eV/atom: 0.194
DFT total energy in eV/atom: -29.63
ΔE to the lowest computed polymorph in eV/atom: 0.052
Theoretical density in g cm⁻³: 5.758

***

Here is a crystal of LaLu3S6 relaxed with PBEsol from Alexandria. Energies are from meta-GGA SCAN.

```
data_LaLu3S6
_chemical_formula_sum 'La2 Lu6 S12'
_space_group_name_H-M_alt 'P 1 21/m 1'
_space_group_IT_number 11
_cell_length_a 10.7975
_cell_length_b 3.8937
_cell_length_c 11.0757
_cell_angle_alpha 90.00
_cell_angle_beta 109.06
_cell_angle_gamma 90.00
loop_
_space_group_symop_operation_xyz
'x,y,z'
'-x,-y,-z'
'-x,y+1/2,-z'
'x,-y+1/2,z'
loop_
_atom_site_label
_atom_site_fract_x
_atom_site_fract_y
_atom_site_fract_z
_atom_site_occupancy
La1 0.0529 0.2500 0.1975 1
Lu1 0.1602 0.2500 0.5883 1
Lu2 0.3219 0.7500 0.9999 1
Lu3 0.4478 0.2500 0.3342 1
S1 0.0835 0.7500 0.4097 1
S2 0.1243 0.2500 0.9640 1
S3 0.1999 0.7500 0.7489 1
S4 0.2727 0.7500 0.2311 1
S5 0.3904 0.2500 0.5538 1
S6 0.4808 0.2500 0.1121 1
```

Results
DFT total energy in eV/atom: -29.09
Theoretical density in g cm⁻³: 6.461

***

Here is a crystal of La2Mg relaxed with PBEsol from Alexandria. Energies are from meta-GGA SCAN.

```
data_La2Mg
_chemical_formula_sum 'La8 Mg4'
_space_group_name_H-M_alt 'I 4/m c m'
_space_group_IT_number 140
_space_group_name_Hall '-I 4 2c'
_cell_length_a 8.3427
_cell_length_b 8.3427
_cell_length_c 5.4306
_cell_angle_alpha 90.00
_cell_angle_beta 90.00
_cell_angle_gamma 90.00
loop_
_atom_site_label
_atom_site_fract_x
_atom_site_fract_y
_atom_site_fract_z
_atom_site_occupancy
La1 0.1490 0.3510 0.0000 1
Mg1 0.0000 0.0000 0.2500 1
```

Results
Formation enthalpy at 0 K in eV/atom: -0.015
DFT total energy in eV/atom: -30.41
ΔE to the lowest computed polymorph in eV/atom: 0.075
Theoretical density in g cm⁻³: 5.309

***

Here is a crystal of LaMg relaxed with PBEsol from Alexandria. Energies are from meta-GGA SCAN.

```
data_LaMg
_chemical_formula_sum 'La1 Mg1'
_space_group_name_H-M_alt 'P m -3 m'
_space_group_IT_number 221
_space_group_name_Hall '-P 4 2 3'
_cell_length_a 3.9050
_cell_length_b 3.9050
_cell_length_c 3.9050
_cell_angle_alpha 90.00
_cell_angle_beta 90.00
_cell_angle_gamma 90.00
loop_
_atom_site_label
_atom_site_fract_x
_atom_site_fract_y
_atom_site_fract_z
_atom_site_occupancy
La1 0.0000 0.0000 0.0000 1
Mg1 0.5000 0.5000 0.5000 1
```

Results
Formation enthalpy at 0 K in eV/atom: -0.135
DFT total energy in eV/atom: -24.17
ΔE to the lowest computed polymorph in eV/atom: 0.000
Theoretical density in g cm⁻³: 4.551

***

Here is a crystal of LaMg3 relaxed with PBEsol from Alexandria. Energies are from meta-GGA SCAN.

```
data_LaMg3
_chemical_formula_sum 'La4 Mg12'
_space_group_name_H-M_alt 'I 4/m m m'
_space_group_IT_number 139
_space_group_name_Hall '-I 4 2'
_cell_length_a 5.0536
_cell_length_b 5.0536
_cell_length_c 16.5413
_cell_angle_alpha 90.00
_cell_angle_beta 90.00
_cell_angle_gamma 90.00
loop_
_atom_site_label
_atom_site_fract_x
_atom_site_fract_y
_atom_site_fract_z
_atom_site_occupancy
La1 0.0000 0.0000 0.1358 1
Mg1 0.0000 0.0000 0.3663 1
Mg2 0.0000 0.5000 0.0000 1
Mg3 0.0000 0.5000 0.2500 1
```

Results
Formation enthalpy at 0 K in eV/atom: -0.090
DFT total energy in eV/atom: -14.60
Theoretical density in g cm⁻³: 3.330

***

Here is a crystal of LaMg3 relaxed with PBEsol from Alexandria. Energies are from meta-GGA SCAN.

```
data_LaMg3
_chemical_formula_sum 'La1 Mg3'
_space_group_name_H-M_alt 'P m -3 m'
_space_group_IT_number 221
_space_group_name_Hall '-P 4 2 3'
_cell_length_a 4.7744
_cell_length_b 4.7744
_cell_length_c 4.7744
_cell_angle_alpha 90.00
_cell_angle_beta 90.00
_cell_angle_gamma 90.00
loop_
_atom_site_label
_atom_site_fract_x
_atom_site_fract_y
_atom_site_fract_z
_atom_site_occupancy
La1 0.0000 0.0000 0.0000 1
Mg1 0.0000 0.5000 0.5000 1
```

Results
Formation enthalpy at 0 K in eV/atom: -0.040
DFT total energy in eV/atom: -14.55
Theoretical density in g cm⁻³: 3.232